[1]
DFT (PBE) results for an optimized crystal structure of Cs2SbCl4F2.

```
9
Lattice="6.1909 -0.0379 -0.0258 1.3420 7.0180 0.3348 1.3420 2.8883 6.4049" Properties=species:S:1:pos:R:3 pbc="T T T"
Cs 2.9165 6.6884 4.5504
Cs 5.9584 3.1800 2.1635
Sb 3.0955 -0.0189 -0.0129
Cl 3.0310 5.0820 1.2450
Cl 5.8439 6.8443 2.4440
Cl 5.8439 4.7863 5.4689
Cl 3.0310 3.0241 4.2699
F 1.8748 1.3555 0.9222
F 7.0001 8.5129 5.7917
```

Properties
For the size of the total moment, the calculation gives 0.0 Bohr magnetons per cell. The calculation puts the uncorrected formation energy at -1.7607 eV per atom. As for the space-group type: C2/m (12).

[2]
DFT (PBE) results for an optimized crystal structure of SrHfGaIr2.

```
5
Lattice="-2.8074 -0.4844 -3.9447 2.2499 -5.4217 -0.9355 -3.5218 -1.9350 2.7440" Properties=species:S:1:pos:R:3 pbc="T T T"
Sr 1.1250 -2.7109 -0.4678
Ir -1.7609 -0.9675 1.3720
Ir -1.4037 -0.2422 -1.9724
Hf 0.0000 0.0000 0.0000
Ga -2.0397 -3.9205 -1.0681
```

Properties
For the size of the total moment, the calculation gives 0.0 Bohr magnetons per cell. The formation enthalpy at 0 K is 0.9481 eV per atom. As for the space-group type: P4/mmm (123).

[3]
DFT (PBE) results for an optimized crystal structure of Na7Ag2Hg2.

```
11
Lattice="6.1073 -0.1308 -0.9839 -0.5942 6.0797 -0.9839 -0.1862 -0.2009 8.0865" Properties=species:S:1:pos:R:3 pbc="T T T"
Na 5.1742 2.9921 0.2038
Na 2.7363 0.3616 5.9150
Na 0.1528 2.7559 5.9150
Na 2.5906 5.3864 0.2038
Na 0.0000 0.0000 0.0000
Na 4.5079 4.8643 2.9405
Na 0.8190 0.8838 3.1783
Ag 1.5152 3.9382 3.0594
Ag 3.8118 1.8098 3.0594
Hg 3.2101 3.4638 5.5273
Hg 2.1169 2.2842 0.5915
```

Properties
For the size of the total moment, the calculation gives 0.0 Bohr magnetons per cell. The formation enthalpy at 0 K is -0.0857 eV per atom. As for the space-group type: C2/m (12).

[4]
DFT (PBE) results for an optimized crystal structure of Sr2Li2La.

```
5
Lattice="3.9534 0.0000 0.0000 0.0000 3.9534 0.0000 1.9767 1.9767 11.9135" Properties=species:S:1:pos:R:3 pbc="T T T"
Sr 1.9767 1.9767 2.9233
Sr 3.9534 3.9534 8.9901
Li 3.9534 1.9767 5.9567
Li 1.9767 3.9534 5.9567
La 0.0000 0.0000 0.0000
```

Properties
For the size of the total moment, the calculation gives 0.0 Bohr magnetons per cell. The formation enthalpy at 0 K is 0.1395 eV per atom. As for the space-group type: I4/mmm (139).

[5]
DFT (PBE) results for an optimized crystal structure of Ba4Zn2Ag.

```
7
Lattice="-2.1231 0.8202 -6.7369 -2.9328 -5.8952 2.6855 -2.0273 5.6542 3.8061" Properties=species:S:1:pos:R:3 pbc="T T T"
Ba -1.0615 0.4101 -3.3685
Ba -3.5416 0.2896 -0.1227
Ba -1.0136 2.8271 1.9031
Ba -1.4664 -2.9476 1.3427
Zn -2.5279 -2.5375 -2.0257
Zn -2.0752 3.2372 -1.4654
Ag 0.0000 0.0000 0.0000
```

Properties
For the size of the total moment, the calculation gives 0.0 Bohr magnetons per cell. The formation enthalpy at 0 K is -0.1271 eV per atom. As for the space-group type: I4/mmm (139).

[6]
DFT (PBE) results for an optimized crystal structure of Al2GaBr8.

```
11
Lattice="6.4874 -0.1272 -0.1088 0.7040 8.1649 0.2140 0.7040 1.4771 8.0330" Properties=species:S:1:pos:R:3 pbc="T T T"
Al 2.5802 1.8528 1.5848
Al 5.3151 7.6619 6.5534
Ga 0.0000 0.0000 0.0000
Br 5.5307 1.5811 5.6966
Br 2.3645 3.6419 7.4593
Br 4.9210 1.7058 1.4590
Br 2.9743 7.8089 6.6792
Br 5.5307 5.8729 0.6789
Br 2.3645 7.9337 2.4415
Br 2.0663 3.5339 3.0226
Br 5.8290 5.9809 5.1156
```

Properties
For the size of the total moment, the calculation gives 0.8 Bohr magnetons per cell. The calculation puts the uncorrected formation energy at -0.9436 eV per atom. As for the space-group type: C2/m (12).

[7]
DFT (PBE) results for an optimized crystal structure of CeNi12P6.

```
19
Lattice="6.4562 0.0368 0.0518 -1.5647 6.2638 0.0518 -1.5647 -2.0155 5.9309" Properties=species:S:1:pos:R:3 pbc="T T T"
Ce 0.0000 0.0000 0.0000
Ni 4.6476 -0.1743 3.0173
Ni 3.5904 2.3469 3.3051
Ni 1.3837 1.7823 4.9226
Ni 1.9430 0.2249 2.7294
Ni 1.9430 2.5028 1.1119
Ni -0.2637 1.9381 2.7294
Ni -1.3209 1.3790 5.2046
Ni 1.6633 5.2229 0.8299
Ni -1.3209 4.4593 3.0173
Ni 4.6476 2.9061 0.8299
Ni 1.6633 -0.9378 5.2046
Ni 1.3837 4.0601 3.3051
P 3.6218 1.0282 1.4480
P 0.0983 0.1266 4.0305
P 0.0983 3.7636 1.4480
P 3.2284 4.1584 2.0040
P -0.2951 3.2569 4.5866
P 3.2284 0.5215 4.5866
```

Properties
For the size of the total moment, the calculation gives 1.3 Bohr magnetons per cell. The formation enthalpy at 0 K is -0.5392 eV per atom. As for the space-group type: R-3m (166).

[8]
DFT (PBE) results for an optimized crystal structure of Pm6SnTe12.

```
19
Lattice="8.9724 -0.0456 -0.0547 -1.4053 8.8618 -0.0547 -1.4053 -1.6373 8.7094" Properties=species:S:1:pos:R:3 pbc="T T T"
Pm 4.3555 7.0172 3.0538
Pm 5.0915 2.6082 1.1501
Pm -0.1141 5.1336 2.7718
Pm 1.8062 0.1616 5.5462
Pm 1.0702 4.5706 7.4500
Pm 6.2758 2.0453 5.8283
Sn 0.0000 0.0000 0.0000
Te 5.9461 4.3696 3.6634
Te 1.8896 6.3054 4.9539
Te 3.4177 2.4358 7.0892
Te 0.2156 2.8092 4.9366
Te 4.2722 0.8734 3.6461
Te 2.7441 4.7430 1.5109
Te -1.4644 8.0944 2.8769
Te -2.0611 4.3089 8.3027
Te 4.5715 8.4164 0.1219
Te 7.6261 -0.9156 5.7232
Te 8.2228 2.8700 0.2973
Te 1.5902 -1.2376 8.4782
```

Properties
For the size of the total moment, the calculation gives 0.0 Bohr magnetons per cell. The calculation puts the uncorrected formation energy at -1.0847 eV per atom. As for the space-group type: R-3 (148).

[9]
DFT (PBE) results for an optimized crystal structure of PmSmPd6.

```
8
Lattice="4.1810 0.0000 0.0000 0.0000 4.1810 0.0000 0.0000 0.0000 8.3568" Properties=species:S:1:pos:R:3 pbc="T T T"
Pm 0.0000 0.0000 0.0000
Sm 0.0000 0.0000 4.1784
Pd 2.0905 2.0905 0.0000
Pd 2.0905 2.0905 4.1784
Pd 2.0905 0.0000 2.0966
Pd 2.0905 0.0000 6.2602
Pd 0.0000 2.0905 2.0966
Pd 0.0000 2.0905 6.2602
```

Properties
For the size of the total moment, the calculation gives 0.0 Bohr magnetons per cell. The formation enthalpy at 0 K is -0.7951 eV per atom. As for the space-group type: P4/mmm (123).

[10]
DFT (PBE) results for an optimized crystal structure of UPaAg.

```
6
Lattice="3.6600 0.2078 0.2516 2.0084 3.0668 0.2516 2.2692 1.3109 12.9376" Properties=species:S:1:pos:R:3 pbc="T T T"
Ag 6.1307 3.5417 3.5007
Ag 4.5044 2.6022 1.3574
Pa 4.2834 2.4745 5.7036
Pa 2.9524 1.7056 11.5894
U 2.7860 1.6095 7.8087
U 4.4499 2.5706 9.4845
```

Properties
For the size of the total moment, the calculation gives 0.0 Bohr magnetons per cell. The formation enthalpy at 0 K is 0.3268 eV per atom. As for the space-group type: C2/m (12).

[11]
DFT (PBE) results for an optimized crystal structure of EuThSn.

```
3
Lattice="-0.4445 2.0817 -2.8350 -1.9458 -2.5260 -1.5497 -5.1086 3.1519 5.3319" Properties=species:S:1:pos:R:3 pbc="T T T"
Eu -7.0936 2.5192 0.7453
Sn -2.6773 0.4667 -1.4542
Th -3.3357 1.5503 1.6613
```

Properties
For the size of the total moment, the calculation gives 7.3 Bohr magnetons per cell. The formation enthalpy at 0 K is -0.2599 eV per atom. As for the space-group type: I4mm (107).

[12]
DFT (PBE) results for an optimized crystal structure of InPS.

```
6
Lattice="5.4746 0.0000 0.0000 0.0000 4.3404 0.0000 -3.5340 0.0000 6.1039" Properties=species:S:1:pos:R:3 pbc="T T T"
In 1.0385 0.0000 1.0048
In -0.7285 2.1702 4.0567
P 0.6892 0.0000 3.5826
P 2.4562 2.1702 0.5306
S 2.6416 0.0000 4.4035
S 4.4086 2.1702 1.3515
```

Properties
For the size of the total moment, the calculation gives 0.0 Bohr magnetons per cell. The calculation puts the uncorrected formation energy at -0.1386 eV per atom. As for the space-group type: Cm (8).